Run a
Computed, not measured: crystalline CsSr3Mg at its relaxed geometry at the PBE level of DFT.

Output
size of the total moment: 0.0 μB per cell
N(E_F): 5.6 states/eV/f.u.
symmetry: Pm-3m

abc: 6.772 6.772 6.772
angles: 90.00 90.00 90.00
Positions (direct):
1 Cs 0.000 0.000 0.000
2 Sr 0.000 0.500 0.500
3 Sr 0.500 0.000 0.500
4 Sr 0.500 0.500 0.000
5 Mg 0.500 0.500 0.500

Run b
Computed, not measured: crystalline CsSr3Mg at its relaxed geometry at the PBE level of DFT.

Output
size of the total moment: 0.0 μB per cell
N(E_F): 7.4 states/eV/f.u.
symmetry: Pm-3m

abc: 6.309 6.309 6.309
angles: 90.00 90.00 90.00
Positions (direct):
1 Cs 0.000 0.000 0.000
2 Sr 0.000 0.000 0.500
3 Sr 0.000 0.500 0.000
4 Sr 0.500 0.000 0.000
5 Mg 0.500 0.500 0.500

Short version: run a, run b, most stable first.

Run a
Computed, not measured: crystalline CsSrMg14 at its relaxed geometry at the PBE level of DFT.

Output
size of the total moment: 0.0 μB per cell
N(E_F): 8.0 states/eV/f.u.
symmetry: Amm2

abc: 11.033 6.637 6.637
angles: 61.84 90.00 90.00
Positions (direct):
1 Cs 0.000 0.000 0.000
2 Sr 0.000 0.497 0.497
3 Mg 0.000 0.501 0.998
4 Mg 0.000 0.998 0.501
5 Mg 0.250 0.731 0.731
6 Mg 0.251 0.242 0.242
7 Mg 0.284 0.235 0.731
8 Mg 0.284 0.731 0.235
9 Mg 0.500 0.396 0.396
10 Mg 0.500 0.407 0.908
11 Mg 0.500 0.896 0.896
12 Mg 0.500 0.908 0.407
13 Mg 0.716 0.235 0.731
14 Mg 0.716 0.731 0.235
15 Mg 0.749 0.242 0.242
16 Mg 0.750 0.731 0.731

Run b
Computed, not measured: crystalline CsSrMg14 at its relaxed geometry at the PBE level of DFT.

Output
size of the total moment: 0.0 μB per cell
N(E_F): 9.9 states/eV/f.u.
symmetry: P-6m2

abc: 6.894 6.894 10.761
angles: 90.00 90.00 120.00
Positions (direct):
1 Cs 0.000 0.000 0.000
2 Sr 0.000 0.000 0.500
3 Mg 0.009 0.504 0.500
4 Mg 0.010 0.505 0.000
5 Mg 0.181 0.362 0.256
6 Mg 0.181 0.362 0.744
7 Mg 0.181 0.819 0.256
8 Mg 0.181 0.819 0.744
9 Mg 0.495 0.505 0.000
10 Mg 0.495 0.990 0.000
11 Mg 0.496 0.504 0.500
12 Mg 0.496 0.991 0.500
13 Mg 0.638 0.819 0.256
14 Mg 0.638 0.819 0.744
15 Mg 0.667 0.333 0.250
16 Mg 0.667 0.333 0.750

Short version: run a, run b, most stable first.

Run a
Computed, not measured: crystalline CsYMg2Tc at its relaxed geometry at the PBE level of DFT.

Output
size of the total moment: 1.5 μB per cell
N(E_F): 5.7 states/eV/f.u.
symmetry: P4/mmm

abc: 5.586 5.586 5.105
angles: 90.00 90.00 90.00
Positions (direct):
1 Cs 0.000 0.000 0.000
2 Y 0.500 0.500 0.500
3 Mg 0.000 0.500 0.000
4 Mg 0.500 0.000 0.000
5 Tc 0.000 0.000 0.500

Run b
Computed, not measured: crystalline CsYMg2Tc at its relaxed geometry at the PBE level of DFT.

Output
size of the total moment: 0.0 μB per cell
N(E_F): 5.2 states/eV/f.u.
symmetry: P4/mmm

abc: 5.240 5.240 5.462
angles: 90.00 90.00 90.00
Positions (direct):
1 Cs 0.000 0.000 0.000
2 Y 0.500 0.500 0.000
3 Mg 0.000 0.500 0.500
4 Mg 0.500 0.000 0.500
5 Tc 0.000 0.000 0.500

Short version: run b, run a, most stable first.

Run a
Computed, not measured: crystalline Cs2MgTe at its relaxed geometry at the PBE level of DFT.

Output
size of the total moment: 0.0 μB per cell
N(E_F): 0.0 states/eV/f.u.
symmetry: I-42d

abc: 6.839 6.839 23.278
angles: 90.00 90.00 90.00
Positions (direct):
1 Cs 0.215 0.250 0.125
2 Cs 0.250 0.715 0.375
3 Cs 0.250 0.785 0.875
4 Cs 0.285 0.250 0.625
5 Cs 0.715 0.750 0.625
6 Cs 0.750 0.215 0.875
7 Cs 0.750 0.285 0.375
8 Cs 0.785 0.750 0.125
9 Mg 0.000 0.000 0.500
10 Mg 0.000 0.500 0.750
11 Mg 0.500 0.000 0.250
12 Mg 0.500 0.500 0.000
13 Te 0.000 0.000 0.000
14 Te 0.000 0.500 0.250
15 Te 0.500 0.000 0.750
16 Te 0.500 0.500 0.500

Run b
Computed, not measured: crystalline Cs2MgTe at its relaxed geometry at the PBE level of DFT.

Output
size of the total moment: 0.0 μB per cell
N(E_F): 0.0 states/eV/f.u.
symmetry: Fm-3m

abc: 9.191 9.191 9.191
angles: 90.00 90.00 90.00
Positions (direct):
1 Cs 0.250 0.250 0.250
2 Cs 0.250 0.250 0.750
3 Cs 0.250 0.750 0.250
4 Cs 0.250 0.750 0.750
5 Cs 0.750 0.250 0.250
6 Cs 0.750 0.250 0.750
7 Cs 0.750 0.750 0.250
8 Cs 0.750 0.750 0.750
9 Mg 0.000 0.000 0.000
10 Mg 0.000 0.500 0.500
11 Mg 0.500 0.000 0.500
12 Mg 0.500 0.500 0.000
13 Te 0.000 0.000 0.500
14 Te 0.000 0.500 0.000
15 Te 0.500 0.000 0.000
16 Te 0.500 0.500 0.500

Short version: run b, run a, most stable first.

Run a
Computed, not measured: crystalline CsMg14Ti at its relaxed geometry at the PBE level of DFT.

Output
size of the total moment: 0.8 μB per cell
N(E_F): 10.4 states/eV/f.u.
symmetry: P-6m2

abc: 6.588 6.588 10.565
angles: 90.00 90.00 120.00
Positions (direct):
1 Cs 0.000 0.000 0.000
2 Mg 0.011 0.505 0.000
3 Mg 0.168 0.337 0.274
4 Mg 0.168 0.337 0.726
5 Mg 0.168 0.832 0.274
6 Mg 0.168 0.832 0.726
7 Mg 0.495 0.505 0.000
8 Mg 0.495 0.989 0.000
9 Mg 0.503 0.007 0.500
10 Mg 0.503 0.497 0.500
11 Mg 0.663 0.832 0.274
12 Mg 0.663 0.832 0.726
13 Mg 0.667 0.333 0.243
14 Mg 0.667 0.333 0.757
15 Mg 0.993 0.497 0.500
16 Ti 0.000 0.000 0.500

Run b
Computed, not measured: crystalline CsMg14Ti at its relaxed geometry at the PBE level of DFT.

Output
size of the total moment: 2.1 μB per cell
N(E_F): 9.4 states/eV/f.u.
symmetry: Amm2

abc: 10.849 6.490 6.490
angles: 59.72 90.00 90.00
Positions (direct):
1 Cs 0.000 0.000 0.000
2 Mg 0.000 0.498 0.982
3 Mg 0.000 0.982 0.498
4 Mg 0.237 0.635 0.635
5 Mg 0.258 0.147 0.629
6 Mg 0.258 0.629 0.147
7 Mg 0.276 0.144 0.144
8 Mg 0.500 0.472 0.472
9 Mg 0.500 0.481 0.965
10 Mg 0.500 0.965 0.481
11 Mg 0.500 0.970 0.970
12 Mg 0.724 0.144 0.144
13 Mg 0.742 0.147 0.629
14 Mg 0.742 0.629 0.147
15 Mg 0.763 0.635 0.635
16 Ti 0.000 0.471 0.471

Short version: run a, run b, most stable first.

Run a
Computed, not measured: crystalline CsMgTl at its relaxed geometry at the PBE level of DFT.

Output
size of the total moment: 0.0 μB per cell
N(E_F): 1.9 states/eV/f.u.
symmetry: Pm

abc: 6.354 5.206 7.915
angles: 90.00 113.37 90.00
Positions (direct):
1 Cs 0.000 0.000 0.000
2 Cs 0.476 0.500 0.002
3 Mg 0.059 0.500 0.471
4 Mg 0.588 0.500 0.531
5 Tl 0.361 0.000 0.598
6 Tl 0.764 0.000 0.404

Run b
Computed, not measured: crystalline CsMgTl at its relaxed geometry at the PBE level of DFT.

Output
size of the total moment: 0.0 μB per cell
N(E_F): 2.0 states/eV/f.u.
symmetry: I4mm

abc: 4.068 4.068 14.349
angles: 90.00 90.00 90.00
Positions (direct):
1 Cs 0.000 0.000 0.000
2 Cs 0.500 0.500 0.500
3 Mg 0.000 0.000 0.282
4 Mg 0.500 0.500 0.782
5 Tl 0.000 0.000 0.706
6 Tl 0.500 0.500 0.206

Short version: run a, run b, most stable first.